# 1
Compound: Cd2IrRu
Source: Alexandria
Functional: meta-GGA SCAN
Structure: PBEsol geometry

Unit cell a=3.972 b=3.972 c=4.982 alpha=113.49 beta=113.49 gamma=90.00
Each line ends with the local moment (μB).
Fractional positions:
Cd1 0.750 0.250 0.500  -0.02
Cd2 0.250 0.750 0.500  -0.02
Ir1 0.500 0.500 0.000  0.64
Ru1 0.000 0.000 0.000  1.65

## Properties
DFT total energy: -41.30 eV per atom
symmetry: I4/mmm (139)
energy of formation from the pure elements: 0.384 eV/atom
relative energy among the computed polymorphs: 0.021 eV per atom

# 2
Compound: CdIrRu2
Source: Alexandria
Functional: meta-GGA SCAN
Structure: PBEsol geometry

Unit cell a=2.708 b=3.811 c=5.773 alpha=90.00 beta=90.00 gamma=90.00
Fractional positions:
Cd1 0.500 0.500 0.000
Ir1 0.500 0.500 0.500
Ru1 0.000 0.000 0.278
Ru2 0.000 0.000 0.722

## Properties
DFT total energy: -42.50 eV per atom
symmetry: Pmmm (47)
energy of formation from the pure elements: 0.291 eV/atom

# 3
Compound: CdIrRu2
Source: Alexandria
Functional: meta-GGA SCAN
Structure: PBEsol geometry

Unit cell a=3.871 b=3.871 c=3.934 alpha=90.00 beta=90.00 gamma=90.00
Each line ends with the local moment (μB).
Fractional positions:
Cd1 0.500 0.500 0.500  -0.01
Ir1 0.000 0.000 0.500  0.42
Ru1 0.500 0.000 0.000  1.20
Ru2 0.000 0.500 0.000  1.20

## Properties
DFT total energy: -42.32 eV per atom
symmetry: P4/mmm (123)
energy of formation from the pure elements: 0.471 eV/atom

# 4
Compound: CdIrRu2
Source: Alexandria
Functional: meta-GGA SCAN
Structure: PBEsol geometry

Unit cell a=3.834 b=3.834 c=4.820 alpha=113.43 beta=113.43 gamma=90.00
Fractional positions:
Ru1 0.250 0.750 0.500
Ir1 0.000 0.000 0.000
Cd1 0.500 0.500 0.000
Ru2 0.750 0.250 0.500

## Properties
DFT total energy: -42.41 eV per atom
symmetry: I4/mmm (139)
energy of formation from the pure elements: 0.386 eV/atom

# 5
Compound: Cd2IrRu
Source: Alexandria
Functional: meta-GGA SCAN
Structure: PBEsol geometry

Unit cell a=2.766 b=4.991 c=5.433 alpha=116.37 beta=103.13 gamma=93.42
Each line ends with the local moment (μB).
Fractional positions:
Cd1 0.500 0.500 0.500  -0.01
Ir1 0.500 0.000 0.000  0.12
Ru1 0.000 0.500 0.000  1.04
Cd2 0.000 0.000 0.500  -0.01

## Properties
DFT total energy: -41.33 eV per atom
symmetry: C2/m (12)
energy of formation from the pure elements: 0.363 eV/atom
relative energy among the computed polymorphs: 0.000 eV per atom

# 6
Compound: CdIrRu2
Source: Alexandria
Functional: meta-GGA SCAN
Structure: PBEsol geometry

Unit cell a=2.724 b=4.423 c=4.912 alpha=90.00 beta=90.05 gamma=90.00
Fractional positions:
Cd1 0.376 0.000 0.472
Ir1 0.374 0.500 0.799
Ru1 0.875 0.000 0.975
Ru2 0.875 0.500 0.254

## Properties
DFT total energy: -42.47 eV per atom
symmetry: Pmm2 (25)
energy of formation from the pure elements: 0.326 eV/atom

# 7
Compound: Cd2IrRu
Source: Alexandria
Functional: meta-GGA SCAN
Structure: PBEsol geometry

Unit cell a=2.777 b=2.777 c=9.343 alpha=90.00 beta=90.00 gamma=116.43
Each line ends with the local moment (μB).
Fractional positions:
Cd1 0.000 0.000 0.249  -0.01
Ir1 0.500 0.500 0.500  0.09
Ru1 0.500 0.500 0.000  1.07
Cd2 0.000 0.000 0.751  -0.01

## Properties
DFT total energy: -41.31 eV per atom
symmetry: Cmmm (65)
energy of formation from the pure elements: 0.377 eV/atom
relative energy among the computed polymorphs: 0.014 eV per atom

# 8
Compound: CdIrS2
Source: Alexandria
Functional: meta-GGA SCAN
Structure: PBEsol geometry

Unit cell a=3.540 b=3.540 c=7.790 alpha=76.87 beta=76.87 gamma=60.00
Fractional positions:
Ir1 0.500 0.500 0.500
S1 0.115 0.115 0.654
S2 0.885 0.885 0.346
Cd1 0.000 0.000 0.000

## Properties
raw formation energy: -307 meV/atom
DFT total energy: -30.50 eV per atom
symmetry: R-3m (166)